Record 1
Density functional theory data (PBE-GGA) for a relaxed KTl crystal.

The structure in extended XYZ format:
```
6
Lattice="9.003 0.007 0.144 8.144 3.837 0.144 3.712 0.832 7.381" Properties=species:S:1:pos:R:3 pbc="T T T"
Tl 17.800 3.990 4.519
Tl 8.709 1.952 6.983
Tl 14.907 3.341 6.055
K 6.614 1.482 2.826
K 3.383 0.758 6.476
K 11.399 2.555 2.252
```

Calculated values
E_form, meV per atom: -67
SG: Cm, No. 8
E, eV/atom: -1.80


Record 2
Density functional theory data (PBE-GGA) for a relaxed K5Tl4 crystal.

The structure in extended XYZ format:
```
9
Lattice="-0.579 6.258 -0.535 -5.712 2.667 0.193 -1.211 4.010 11.024" Properties=species:S:1:pos:R:3 pbc="T T T"
K -1.556 3.593 6.527
K -5.588 9.735 8.364
K -5.945 9.342 4.154
K 0.000 0.000 0.000
K -1.914 3.200 2.317
Tl -3.394 6.885 9.829
Tl -3.885 6.328 3.858
Tl -3.616 6.607 6.823
Tl -4.107 6.050 0.852
```

Calculated values
E_form, meV per atom: -79
SG: C2/m, No. 12
E, eV/atom: -1.74


Record 3
Density functional theory data (PBE-GGA) for a relaxed KTl crystal.

The structure in extended XYZ format:
```
32
Lattice="-7.217 11.009 3.929 -4.527 -5.855 8.090 6.904 2.501 5.674" Properties=species:S:1:pos:R:3 pbc="T T T"
K -6.727 1.471 7.538
K -0.855 -1.106 1.528
K 0.333 -2.783 8.410
K 3.097 4.270 5.732
K 1.387 2.058 8.788
K -1.011 5.649 6.329
K -4.329 -2.120 9.996
K -5.017 3.683 4.482
K -2.775 6.847 11.742
K -3.672 -4.750 6.562
K -2.619 0.092 6.941
K 2.044 -0.571 5.354
K -3.963 8.524 4.860
K -5.673 6.312 7.916
K -3.828 2.005 11.364
K -4.485 4.635 14.798
Tl 2.161 7.594 6.705
Tl -0.074 2.325 5.356
Tl 4.588 1.662 3.770
Tl -2.473 5.916 2.898
Tl -0.231 9.080 10.158
Tl 2.317 0.839 1.904
Tl -8.217 4.079 9.500
Tl -1.157 -0.175 10.372
Tl -2.345 1.502 3.490
Tl -1.128 -2.516 4.978
Tl -5.946 4.901 11.366
Tl -3.555 3.416 7.914
Tl 1.114 0.648 12.238
Tl -1.284 4.238 9.780
Tl -2.501 8.257 8.292
Tl 3.505 -0.838 8.786
```

Calculated values
E_form, meV per atom: 20
SG: Fddd, No. 70
E, eV/atom: -1.71


Record 4
Density functional theory data (PBE-GGA) for a relaxed KTl7 crystal.

The structure in extended XYZ format:
```
8
Lattice="7.089 0.000 0.000 3.545 6.139 0.000 3.545 2.046 5.788" Properties=species:S:1:pos:R:3 pbc="T T T"
Tl 5.317 3.070 0.000
Tl 1.772 3.070 0.000
Tl 7.089 4.093 2.894
Tl 3.545 4.093 2.894
Tl 5.317 1.023 2.894
Tl 3.545 0.000 0.000
Tl 1.772 1.023 2.894
K 0.000 0.000 0.000
```

Calculated values
E_form, meV per atom: 0
SG: Fm-3m, No. 225
E, eV/atom: -2.21


Record 5
Density functional theory data (PBE-GGA) for a relaxed KTmTl2 crystal.

The structure in extended XYZ format:
```
4
Lattice="-2.844 -0.735 -2.265 -0.298 -3.344 -1.578 -6.902 -4.841 7.200" Properties=species:S:1:pos:R:3 pbc="T T T"
K -5.029 -4.464 1.688
Tl -5.570 -4.049 5.271
Tl -2.377 -2.150 0.645
Tm -8.992 -7.558 4.630
```

Calculated values
E_form, meV per atom: -39
SG: R3m, No. 160
E, eV/atom: -2.61


Record 6
Density functional theory data (PBE-GGA) for a relaxed KTmTl2 crystal.

The structure in extended XYZ format:
```
4
Lattice="-0.781 3.675 0.717 -1.051 -0.918 3.562 8.121 1.197 2.705" Properties=species:S:1:pos:R:3 pbc="T T T"
Tl 6.442 0.950 2.146
Tl 1.679 0.247 0.559
K 3.145 1.977 3.492
Tm -0.916 1.379 2.139
```

Calculated values
E_form, meV per atom: -183
SG: P4/mmm, No. 123
E, eV/atom: -2.76


Record 7
Density functional theory data (PBE-GGA) for a relaxed KTmTl2 crystal.

The structure in extended XYZ format:
```
4
Lattice="-3.601 2.129 3.669 -5.209 1.166 -1.570 -4.228 -3.098 1.867" Properties=species:S:1:pos:R:3 pbc="T T T"
Tl -3.260 0.049 0.991
Tl -9.779 0.148 2.974
K -6.519 0.098 1.983
Tm 0.000 0.000 0.000
```

Calculated values
E_form, meV per atom: -42
SG: Fm-3m, No. 225
E, eV/atom: -2.62


Record 8
Density functional theory data (PBE-GGA) for a relaxed KTmTl2 crystal.

The structure in extended XYZ format:
```
4
Lattice="-3.057 1.305 -1.630 -1.299 -1.620 -3.065 -7.527 -6.743 4.517" Properties=species:S:1:pos:R:3 pbc="T T T"
Tm 0.000 0.000 0.000
K -5.942 -3.529 -0.089
Tl -9.046 -5.439 0.000
Tl -2.837 -1.618 -0.178
```

Calculated values
E_form, meV per atom: -46
SG: R-3m, No. 166
E, eV/atom: -2.62